Entry from Alexandria via LeMat-Bulk: InCo4Au at its PBEsol-relaxed geometry (meta-GGA SCAN).

Geometry as extended XYZ:
```
6
Lattice="-1.379 2.914 -3.549 -2.768 -1.675 -3.539 -4.580 1.385 -0.322" Properties=species:S:1:pos:R:3 pbc="T T T"
Co -4.657 0.144 -4.550
Au 0.000 0.000 0.000
Co -3.961 2.444 -4.555
Co -3.270 0.983 -2.777
Co -5.565 1.677 -2.938
In -6.545 1.968 -5.558
```

Properties
* symmetry: No. 216
* total DFT energy (no corrections): -170.7 eV/cell



Entry from Alexandria via LeMat-Bulk: Li2CaHg at its PBEsol-relaxed geometry (meta-GGA SCAN).

Geometry as extended XYZ:
```
4
Lattice="5.038 0.000 0.000 2.519 4.363 0.000 2.519 1.454 4.113" Properties=species:S:1:pos:R:3 pbc="T T T"
Hg 2.519 1.454 1.028
Li 0.000 0.000 0.000
Li 7.557 4.363 3.085
Ca 5.038 2.909 2.057
```

Properties
* symmetry: No. 216
* total DFT energy (no corrections): -84.0 eV/cell



Entry from Alexandria via LeMat-Bulk: MnFe2CoAu at its PBEsol-relaxed geometry (meta-GGA SCAN).

Geometry as extended XYZ:
```
5
Lattice="4.202 0.000 0.000 0.000 4.202 0.000 0.000 0.000 4.710" Properties=species:S:1:pos:R:3 pbc="T T T"
Au 0.000 0.000 2.355
Fe 2.101 0.000 0.000
Mn 2.101 2.101 2.355
Fe 0.000 2.101 0.000
Co 0.000 0.000 0.000
```

Properties
* symmetry: No. 123
* total DFT energy (no corrections): -137.3 eV/cell